1.
Compound: CaCoMo2
Source: the Alexandria database
Functional: PBE-GGA
Structure: optimized geometry

abc: 2.753 2.753 8.956
angles: 90.00 90.00 96.77
Positions (direct):
Mo1 0.000 0.000 0.949
Mo2 0.000 0.000 0.551
Co1 0.500 0.500 0.750
Ca1 0.500 0.500 0.250

Computed properties:
Space group: No. 65
M_tot in μB per cell: 1.3
Energy of formation in eV per atom: 0.563
Energy above the lowest structure with this stoichiometry in kJ/mol of formula units: 53.6

2.
Compound: PHOs2F
Source: the Alexandria database
Functional: PBE-GGA
Structure: optimized geometry

abc: 4.429 4.089 4.429
angles: 90.00 90.00 90.00
Positions (direct):
P1 0.000 0.000 0.000
Os1 0.000 0.000 0.500
Os2 0.500 0.000 0.000
H1 0.500 0.500 0.500
F1 0.000 0.500 0.000

Computed properties:
Total energy in Ha/atom: -0.199
Space group: No. 123
M_tot in μB per cell: 3.1

3.
Compound: BaNaCu2
Source: the Alexandria database
Functional: PBE-GGA
Structure: optimized geometry

abc: 5.355 5.355 5.355
angles: 60.00 60.00 60.00
Positions (direct):
Na1 0.000 0.000 0.000
Ba1 0.500 0.500 0.500
Cu1 0.250 0.250 0.250
Cu2 0.750 0.750 0.750

Computed properties:
Space group: No. 225
M_tot in μB per cell: 0.0
Energy of formation in eV per atom: 0.193
Energy above the lowest structure with this stoichiometry in kJ/mol of formula units: 0.0

4.
Compound: Er8Ir3Pb2
Source: the Alexandria database
Functional: PBE-GGA
Structure: optimized geometry

abc: 4.840 9.734 8.935
angles: 122.97 90.00 90.00
Positions (direct):
Er1 0.000 0.607 0.215
Er2 0.000 0.393 0.785
Er3 0.000 0.112 0.223
Er4 0.000 0.888 0.777
Er5 0.500 0.645 0.780
Er6 0.500 0.135 0.780
Er7 0.500 0.865 0.220
Er8 0.500 0.355 0.220
Ir1 0.500 0.000 0.000
Ir2 0.000 0.250 0.000
Ir3 0.000 0.750 0.000
Pb1 0.500 0.256 0.513
Pb2 0.500 0.744 0.487

Computed properties:
Space group: No. 65
M_tot in μB per cell: 0.0
Energy of formation in eV per atom: -0.611

5.
Compound: CePr2NdHo5
Source: the Alexandria database
Functional: PBE-GGA
Structure: optimized geometry

abc: 8.683 8.683 9.935
angles: 115.91 115.91 90.00
Positions (direct):
Ce1 0.250 0.750 0.500
Ce2 0.750 0.250 0.500
Pr1 0.120 0.380 0.000
Pr2 0.620 0.120 0.000
Pr3 0.380 0.880 0.000
Pr4 0.880 0.620 0.000
Nd1 0.250 0.250 0.500
Nd2 0.750 0.750 0.500
Ho1 0.935 0.435 0.280
Ho2 0.655 0.155 0.720
Ho3 0.065 0.565 0.720
Ho4 0.155 0.065 0.720
Ho5 0.565 0.655 0.720
Ho6 0.845 0.935 0.280
Ho7 0.435 0.345 0.280
Ho8 0.345 0.845 0.280
Ho9 0.500 0.500 0.000
Ho10 0.000 0.000 0.000

Computed properties:
Space group: No. 140
M_tot in μB per cell: 2.1
Energy of formation in eV per atom: 0.266

6.
Compound: VZnCl6
Source: the Alexandria database
Functional: PBE-GGA
Structure: optimized geometry

abc: 6.928 6.286 6.815
angles: 100.47 104.75 123.36
Positions (direct):
V1 0.500 0.000 0.000
Zn1 0.000 0.000 0.000
Cl1 0.886 0.135 0.270
Cl2 0.616 0.865 0.730
Cl3 0.384 0.135 0.270
Cl4 0.114 0.865 0.730
Cl5 0.288 0.575 0.000
Cl6 0.712 0.425 0.000

Computed properties:
Space group: No. 12
M_tot in μB per cell: 1.0
Formation energy from raw total energies in eV per atom: -1.0411

7.
Compound: GaTc3Ge
Source: the Alexandria database
Functional: PBE-GGA
Structure: optimized geometry

abc: 4.551 4.551 4.551
angles: 90.00 90.00 90.00
Positions (direct):
Ge1 0.000 0.000 0.000
Tc1 0.000 0.500 0.000
Tc2 0.000 0.000 0.500
Tc3 0.500 0.000 0.000
Ga1 0.500 0.500 0.500

Computed properties:
Space group: No. 221
M_tot in μB per cell: 3.0
Energy of formation in eV per atom: 1.201
Energy above the lowest structure with this stoichiometry in kJ/mol of formula units: 0.0

8.
Compound: Ce2Dy8Er3
Source: the Alexandria database
Functional: PBE-GGA
Structure: optimized geometry

abc: 6.757 9.423 9.423
angles: 57.75 61.84 61.84
Positions (direct):
Ce1 0.479 0.216 0.216
Ce2 0.521 0.784 0.784
Dy1 0.061 0.583 0.583
Dy2 0.939 0.417 0.417
Dy3 0.006 0.190 0.190
Dy4 0.994 0.810 0.810
Dy5 0.560 0.565 0.197
Dy6 0.560 0.197 0.565
Dy7 0.440 0.803 0.435
Dy8 0.440 0.435 0.803
Er1 0.500 0.000 0.000
Er2 0.000 0.172 0.828
Er3 0.000 0.828 0.172

Computed properties:
Space group: No. 12
M_tot in μB per cell: 2.2
Energy of formation in eV per atom: 0.271

9.
Compound: NaAg2Au9
Source: the Alexandria database
Functional: PBE-GGA
Structure: optimized geometry

abc: 5.549 5.549 9.685
angles: 73.35 73.35 60.00
Positions (direct):
Na1 0.000 0.000 0.000
Ag1 0.848 0.848 0.457
Ag2 0.152 0.152 0.543
Au1 0.667 0.667 0.000
Au2 0.333 0.333 0.000
Au3 0.500 0.500 0.500
Au4 0.412 0.412 0.257
Au5 0.919 0.412 0.257
Au6 0.412 0.919 0.257
Au7 0.588 0.588 0.743
Au8 0.588 0.081 0.743
Au9 0.081 0.588 0.743

Computed properties:
Space group: No. 166
M_tot in μB per cell: 0.0
Energy of formation in eV per atom: -0.072

10.
Compound: Nd3BiN2
Source: the Alexandria database
Functional: PBE-GGA
Structure: optimized geometry

abc: 4.365 5.155 12.587
angles: 90.00 90.00 90.00
Positions (direct):
Nd1 0.750 0.265 0.250
Nd2 0.250 0.735 0.750
Nd3 0.750 0.748 0.026
Nd4 0.250 0.252 0.974
Nd5 0.250 0.252 0.526
Nd6 0.750 0.748 0.474
Bi1 0.250 0.780 0.250
Bi2 0.750 0.220 0.750
N1 0.250 0.708 0.943
N2 0.750 0.292 0.057
N3 0.750 0.292 0.443
N4 0.250 0.708 0.557

Computed properties:
Space group: No. 59
M_tot in μB per cell: 0.0
Energy above the lowest structure with this stoichiometry in kJ/mol of formula units: 0.0
Formation energy from raw total energies in eV per atom: -1.1742